## TiBeAl2Cr (meta-GGA SCAN)

Data for a PBEsol-optimized structure of TiBeAl2Cr.

Structure (POSCAR):
```
TiBeAl2Cr
1.0
-0.584 -3.494 2.202
4.499 -0.148 0.958
-0.724 2.509 3.790
Ti Be Cr Al
1 1 1 2
direct
0.500 0.000 0.000
0.500 0.500 0.500
0.000 0.000 0.000
0.000 0.000 0.500
0.000 0.500 0.000
```

## Properties
- SG = P4/mmm (123)
- formation energy from the elements (eV/atom) = 0.782
- energy (eV/atom) = -10.07

=====

## TbScO3 (meta-GGA SCAN)

Data for a PBEsol-optimized structure of TbScO3.

Structure (POSCAR):
```
TbScO3
1.0
-5.247 -0.654 1.155
-0.492 -3.689 -4.327
1.806 -5.927 4.848
O Tb Sc
12 4 4
direct
0.629 0.055 0.250
0.871 0.555 0.250
0.692 0.306 0.567
0.192 0.194 0.067
0.129 0.445 0.750
0.308 0.694 0.433
0.808 0.806 0.567
0.692 0.306 0.933
0.371 0.945 0.750
0.808 0.806 0.933
0.308 0.694 0.067
0.192 0.194 0.433
0.020 0.936 0.250
0.980 0.064 0.750
0.480 0.436 0.250
0.520 0.564 0.750
0.500 0.000 0.000
0.000 0.500 0.500
0.000 0.500 0.000
0.500 0.000 0.500
```

## Properties
- SG = Pnma (62)
- energy (eV/atom) = -19.83

=====

## Li2Ga2Au (meta-GGA SCAN)

Data for a PBEsol-optimized structure of Li2Ga2Au.

Structure (POSCAR):
```
Li2Ga2Au
1.0
-0.399 -3.460 0.088
3.981 -0.324 5.351
-5.306 0.714 3.990
Ga Li Au
4 4 2
direct
0.000 0.635 0.135
0.000 0.865 0.635
0.000 0.135 0.365
0.000 0.365 0.865
0.500 0.667 0.833
0.500 0.833 0.333
0.500 0.167 0.667
0.500 0.333 0.167
0.000 0.500 0.500
0.000 0.000 0.000
```

## Properties
- ΔE to the lowest computed polymorph (eV per atom) = 0.000
- SG = P4/mbm (127)
- formation energy from the elements (eV/atom) = -0.429
- energy (eV/atom) = -21.75

=====

## IrRu (meta-GGA SCAN)

Data for a PBEsol-optimized structure of IrRu.

Structure (POSCAR):
```
IrRu
1.0
-2.232 0.192 1.521
0.631 -2.350 -1.189
2.269 -1.149 3.476
Ir Ru
1 1
direct
0.000 0.000 0.500
0.333 0.667 0.000
```

## Properties
- ΔE to the lowest computed polymorph (eV per atom) = 0.026
- SG = P-6m2 (187)
- formation energy from the elements (eV/atom) = -0.049
- energy (eV/atom) = -53.01

=====

## NiAgSe2 (meta-GGA SCAN)

Data for a PBEsol-optimized structure of NiAgSe2.

Structure (POSCAR):
```
NiAgSe2
1.0
-2.436 1.179 -2.226
0.421 -0.438 -3.451
-3.757 -5.468 -1.543
Ag Se Ni
1 2 1
direct
0.500 0.500 0.500
0.266 0.266 0.201
0.734 0.734 0.799
0.000 0.000 0.000
```

## Properties
- ΔE to the lowest computed polymorph (eV per atom) = 0.000
- SG = R-3m (166)
- energy (eV/atom) = -22.12

=====

## Ag2P (meta-GGA SCAN)

Data for a PBEsol-optimized structure of Ag2P.

Structure (POSCAR):
```
Ag2P
1.0
2.815 0.000 0.000
0.000 2.815 0.000
-1.407 -1.407 6.103
P Ag
1 2
direct
0.000 0.000 0.000
0.663 0.663 0.326
0.337 0.337 0.674
```

## Properties
- SG = I4/mmm (139)
- formation energy from the elements (eV/atom) = 0.316
- energy (eV/atom) = -24.06